(1)
A plane-wave DFT calculation with PBE was carried out for ZrRuF2 after structural relaxation.

Structure (POSCAR):
```
ZrRuF2
1.0
1.7334 0.0000 9.0664
-0.8667 1.5011 9.0664
-0.8667 -1.5011 9.0664
F Zr Ru
2 1 1
Cartesian
0.0000 0.0000 25.2138
0.0000 0.0000 1.9854
0.0000 0.0000 0.0000
0.0000 0.0000 13.5996
```

Properties
- ΔE_f (raw): -0.908 eV per atom
- Space group: No. 166
- Energy above the most stable polymorph in this dataset: 410.8 meV per atom



(2)
A plane-wave DFT calculation with PBE was carried out for Zr3RuF after structural relaxation.

Structure (POSCAR):
```
Zr3RuF
1.0
5.0523 0.0000 0.0000
0.0000 5.0523 0.0000
0.0000 0.0000 5.0523
Zr F Ru
3 1 1
Cartesian
0.0000 2.5262 0.0000
0.0000 0.0000 2.5262
2.5262 0.0000 0.0000
2.5262 2.5262 2.5262
0.0000 0.0000 0.0000
```

Properties
- ΔE_f (raw): 0.165 eV per atom
- Space group: No. 221
- Energy above the most stable polymorph in this dataset: 648.7 meV per atom



(3)
A plane-wave DFT calculation with PBE was carried out for ZrRu2F after structural relaxation.

Structure (POSCAR):
```
ZrRu2F
1.0
0.0000 3.1251 3.1251
3.1251 0.0000 3.1251
3.1251 3.1251 0.0000
Zr F Ru
1 1 2
Cartesian
3.1251 3.1251 3.1251
0.0000 0.0000 0.0000
1.5626 1.5626 1.5626
4.6877 4.6877 4.6877
```

Properties
- ΔE_f (raw): 0.099 eV per atom
- Space group: No. 225
- Energy above the most stable polymorph in this dataset: 267.1 meV per atom



(4)
A plane-wave DFT calculation with PBE was carried out for ZrRu2F after structural relaxation.

Structure (POSCAR):
```
ZrRu2F
1.0
7.4056 0.0000 0.0000
0.0000 7.4056 0.0000
3.7028 3.7028 2.2974
Ru F Zr
4 2 2
Cartesian
2.2533 5.5542 0.5744
5.5542 5.9561 1.7231
9.2570 8.8551 1.7231
5.1523 1.8514 0.5744
3.7028 7.4056 1.1487
3.7028 3.7028 0.0000
0.0000 0.0000 0.0000
7.4056 3.7028 1.1487
```

Properties
- ΔE_f (raw): -0.168 eV per atom
- Space group: No. 122
- Energy above the most stable polymorph in this dataset: 0.0 meV per atom



(5)
A plane-wave DFT calculation with PBE was carried out for ZrRuF2 after structural relaxation.

Structure (POSCAR):
```
ZrRuF2
1.0
0.0000 3.0101 3.0101
3.0101 0.0000 3.0101
3.0101 3.0101 0.0000
F Zr Ru
2 1 1
Cartesian
1.5050 1.5050 1.5050
4.5151 4.5151 4.5151
0.0000 0.0000 0.0000
3.0101 3.0101 3.0101
```

Properties
- ΔE_f (raw): -0.708 eV per atom
- Space group: No. 225
- Energy above the most stable polymorph in this dataset: 610.7 meV per atom



(6)
A plane-wave DFT calculation with PBE was carried out for ZrRuF3 after structural relaxation.

Structure (POSCAR):
```
ZrRuF3
1.0
-1.7105 -1.1221 -3.6843
-3.6291 -0.8804 1.9529
-1.2897 3.9655 -0.6090
Zr Ru F
1 1 3
Cartesian
-3.3146 0.9815 -1.1702
0.0000 0.0000 0.0000
-0.8552 -0.5610 -1.8422
-1.8145 -0.4402 0.9765
-0.6448 1.9827 -0.3045
```

Properties
- ΔE_f (raw): -0.565 eV per atom
- Space group: No. 221
- Energy above the most stable polymorph in this dataset: 827.3 meV per atom



(7)
A plane-wave DFT calculation with PBE was carried out for ZrRu3F after structural relaxation.

Structure (POSCAR):
```
ZrRu3F
1.0
-2.0024 -2.9300 -2.3171
3.2785 -2.6385 0.5033
-1.7904 -1.5545 3.5130
Ru F Zr
3 1 1
Cartesian
-0.8952 -0.7773 1.7565
1.6392 -1.3193 0.2516
-1.0012 -1.4650 -1.1585
0.0000 0.0000 0.0000
-0.2571 -3.5615 0.8496
```

Properties
- ΔE_f (raw): 0.405 eV per atom
- Space group: No. 221
- Energy above the most stable polymorph in this dataset: 0.0 meV per atom



(8)
A plane-wave DFT calculation with PBE was carried out for ZrRuF2 after structural relaxation.

Structure (POSCAR):
```
ZrRuF2
1.0
1.3908 7.5739 0.4245
3.9197 6.5421 1.1471
3.2343 6.8208 -1.5795
Zr F Ru
1 2 1
Cartesian
4.2724 10.4684 -0.0040
7.7306 18.9419 -0.0072
0.8142 1.9949 -0.0008
0.0000 0.0000 0.0000
```

Properties
- ΔE_f (raw): -1.211 eV per atom
- Space group: No. 166
- Energy above the most stable polymorph in this dataset: 107.9 meV per atom



(9)
A plane-wave DFT calculation with PBE was carried out for SbSF after structural relaxation.

Structure (POSCAR):
```
SbSF
1.0
-3.9848 -1.2184 -8.7404
-0.4963 -1.4595 -9.5593
-0.2255 -5.0009 0.5120
S F Sb
2 2 2
Cartesian
-2.6729 -2.7200 -10.5850
-2.0336 -4.9588 -7.2027
-3.6169 -2.7900 -14.5855
-1.0897 -4.8889 -3.2022
-0.8310 -1.7847 -3.0143
-3.8755 -5.8942 -14.7734
```

Properties
- ΔE_f (raw): -1.119 eV per atom
- Space group: No. 12
- Energy above the most stable polymorph in this dataset: 9.7 meV per atom



(10)
A plane-wave DFT calculation with PBE was carried out for SbS6F after structural relaxation.

Structure (POSCAR):
```
SbS6F
1.0
4.5527 0.5851 1.2474
-2.4151 5.6651 1.6201
-0.3463 -1.0147 6.2770
S Sb F
6 1 1
Cartesian
1.7934 2.7193 4.8264
-1.0480 5.1808 4.7848
2.8393 0.0548 4.3597
0.0952 3.2555 1.5154
1.6961 1.9800 7.6291
-0.0021 2.5162 4.3182
2.2763 0.2926 0.6237
0.0000 0.0000 0.0000
```

Properties
- ΔE_f (raw): -0.179 eV per atom
- Space group: No. 12



(11)
A plane-wave DFT calculation with PBE was carried out for SbSF2 after structural relaxation.

Structure (POSCAR):
```
SbSF2
1.0
3.4830 -7.5677 0.8159
5.0719 -6.4616 -1.6093
5.9516 -5.7453 1.2791
S F Sb
1 2 1
Cartesian
0.0000 0.0000 0.0000
13.4085 -18.2779 0.4489
1.0980 -1.4967 0.0368
7.2532 -9.8873 0.2428
```

Properties
- ΔE_f (raw): -0.634 eV per atom
- Space group: No. 166
- Energy above the most stable polymorph in this dataset: 675.3 meV per atom



(12)
A plane-wave DFT calculation with PBE was carried out for SbS5F after structural relaxation.

Structure (POSCAR):
```
SbS5F
1.0
4.6185 0.5490 -1.8852
-0.5064 3.9540 -2.0365
1.7316 2.3687 8.8860
S Sb F
5 1 1
Cartesian
1.0690 2.9324 0.6399
1.6281 5.4982 3.8176
4.4957 1.8210 -0.8725
3.3676 3.1080 5.3881
0.5779 3.5584 -1.2884
4.3139 2.1879 3.2908
4.3674 4.0443 2.3819
```

Properties
- ΔE_f (raw): -0.399 eV per atom
- Space group: No. 1



(13)
A plane-wave DFT calculation with PBE was carried out for Sb2SF2 after structural relaxation.

Structure (POSCAR):
```
Sb2SF2
1.0
4.7169 0.0000 0.0000
0.0000 4.7169 0.0000
2.3585 2.3585 4.2023
Sb F S
2 2 1
Cartesian
4.7169 2.3585 2.1012
2.3585 4.7169 2.1012
2.3585 2.3585 1.2627
4.7169 4.7169 2.9396
0.0000 0.0000 0.0000
```

Properties
- ΔE_f (raw): -0.639 eV per atom
- Space group: No. 139
- Energy above the most stable polymorph in this dataset: 12.8 meV per atom



(14)
A plane-wave DFT calculation with PBE was carried out for SbSF2 after structural relaxation.

Structure (POSCAR):
```
SbSF2
1.0
6.4950 0.0000 0.0000
0.0000 5.7529 0.1363
0.0000 0.2564 10.0785
S F Sb
4 8 4
Cartesian
5.6602 5.4096 1.9965
2.4127 3.3479 3.2473
0.8348 0.5997 8.2184
4.0823 2.6613 6.9676
2.1783 3.7683 9.9270
2.4476 0.2017 1.0179
4.3167 2.2410 0.2879
5.4258 5.2456 5.3953
1.0692 0.7636 4.8196
4.0474 5.8075 9.1970
0.7999 3.2064 6.1253
5.6951 2.8029 4.0895
0.2368 4.5104 3.9508
3.4843 4.2471 1.2930
3.0107 1.7621 8.9219
6.2582 1.4989 6.2641
```

Properties
- ΔE_f (raw): -1.310 eV per atom
- Space group: No. 14
- Energy above the most stable polymorph in this dataset: 0.0 meV per atom



(15)
A plane-wave DFT calculation with PBE was carried out for Sb2SF after structural relaxation.

Structure (POSCAR):
```
Sb2SF
1.0
-3.3398 -0.0870 3.4511
-0.1510 3.5013 3.2848
-3.5915 3.1891 -0.0526
Sb F S
2 1 1
Cartesian
-5.3117 4.9526 5.0125
-1.7706 1.6509 1.6708
0.0000 0.0000 0.0000
-3.5412 3.3017 3.3417
```

Properties
- ΔE_f (raw): -0.301 eV per atom
- Space group: No. 225
- Energy above the most stable polymorph in this dataset: 162.9 meV per atom



(16)
A plane-wave DFT calculation with PBE was carried out for Sb2SF2 after structural relaxation.

Structure (POSCAR):
```
Sb2SF2
1.0
7.8930 0.0000 0.0000
0.0000 7.8930 0.0000
0.0000 0.0000 2.9099
F S Sb
4 2 4
Cartesian
0.9485 2.9981 0.0000
4.8950 0.9485 0.0000
2.9981 6.9446 0.0000
6.9446 4.8950 0.0000
0.0000 0.0000 0.0000
3.9465 3.9465 0.0000
5.6032 6.2363 1.4550
2.2898 1.6567 1.4550
6.2363 2.2898 1.4550
1.6567 5.6032 1.4550
```

Properties
- ΔE_f (raw): -0.652 eV per atom
- Space group: No. 127
- Energy above the most stable polymorph in this dataset: 0.0 meV per atom



(17)
A plane-wave DFT calculation with PBE was carried out for Sb4S5F2 after structural relaxation.

Structure (POSCAR):
```
Sb4S5F2
1.0
3.4780 0.0000 -0.5663
-0.0618 7.1510 -0.3800
-0.0531 0.2474 10.6378
F Sb S
2 4 5
Cartesian
0.0971 4.5724 0.5963
3.2660 2.8260 9.0953
0.9027 5.5318 5.5439
3.2192 5.5548 8.8080
2.4604 1.8666 4.1477
0.1439 1.8436 0.8836
0.5419 3.4926 3.3284
1.7390 0.0000 -0.2832
2.8005 7.2062 6.2361
0.5626 0.1922 3.4555
2.8211 3.9058 6.3631
```

Properties
- ΔE_f (raw): -0.484 eV per atom
- Space group: No. 12



(18)
A plane-wave DFT calculation with PBE was carried out for Sb2S2F after structural relaxation.

Structure (POSCAR):
```
Sb2S2F
1.0
-0.6485 0.7184 -3.7466
-3.7791 0.1323 -0.8215
-0.8402 8.9999 0.9041
Sb S F
2 2 1
Cartesian
-4.3625 7.9514 -1.4775
-0.9052 1.8991 -2.1865
-3.1635 2.9859 -1.1892
-2.1043 6.8646 -2.4749
-1.8895 0.0661 -0.4108
```

Properties
- ΔE_f (raw): -0.595 eV per atom
- Space group: No. 12



(19)
A plane-wave DFT calculation with PBE was carried out for SbSF after structural relaxation.

Structure (POSCAR):
```
SbSF
1.0
-0.6176 -0.7636 3.4206
-2.7917 -3.4844 -1.2819
15.3912 -12.3401 0.0245
Sb S F
4 4 4
Cartesian
11.5895 -13.9805 0.8232
3.9755 -7.7123 -1.0037
0.3924 -2.6076 1.3401
8.6241 -8.1122 -0.2537
2.0005 -3.2868 -0.3725
9.6334 -9.5315 1.4631
2.3485 -7.0566 0.7002
10.5990 -12.5377 -0.8849
5.3856 -6.3393 -0.4427
-1.3668 -4.4162 0.6187
13.3487 -12.1719 1.5445
7.2140 -9.4852 -0.8147
```

Properties
- ΔE_f (raw): -1.110 eV per atom
- Space group: No. 58
- Energy above the most stable polymorph in this dataset: 18.6 meV per atom



(20)
A plane-wave DFT calculation with PBE was carried out for SbSF2 after structural relaxation.

Structure (POSCAR):
```
SbSF2
1.0
-1.4749 -4.0795 0.3691
-3.3222 -0.8802 2.6726
-3.8898 -1.0651 -1.6399
S F Sb
1 2 1
Cartesian
0.0000 0.0000 0.0000
-2.1717 -1.5062 0.3504
-6.5152 -4.5186 1.0513
-4.3434 -3.0124 0.7009
```

Properties
- ΔE_f (raw): -0.671 eV per atom
- Space group: No. 225
- Energy above the most stable polymorph in this dataset: 638.3 meV per atom



(21)
A plane-wave DFT calculation with PBE was carried out for SbSF after structural relaxation.

Structure (POSCAR):
```
SbSF
1.0
-4.1278 -2.1804 -2.6404
2.1581 -0.2507 -3.1669
-0.0710 -2.9056 2.5103
S Sb F
1 1 1
Cartesian
-1.7053 -2.7839 -3.2704
-0.1326 -0.0700 -0.0848
-0.2028 -2.4828 0.0583
```

Properties
- ΔE_f (raw): -1.093 eV per atom
- Space group: No. 156
- Energy above the most stable polymorph in this dataset: 35.5 meV per atom



(22)
A plane-wave DFT calculation with PBE was carried out for SbSF2 after structural relaxation.

Structure (POSCAR):
```
SbSF2
1.0
4.0778 0.0000 0.0000
0.0000 4.0778 0.0000
2.0389 2.0389 7.9548
S F Sb
2 4 2
Cartesian
2.0389 2.0389 0.0000
2.0389 4.0778 3.9774
3.3653 1.0194 1.9887
5.0972 5.4041 5.9661
3.0583 2.7514 5.9661
0.7125 3.0583 1.9887
0.0000 0.0000 0.0000
4.0778 2.0389 3.9774
```

Properties
- ΔE_f (raw): -0.975 eV per atom
- Space group: No. 122
- Energy above the most stable polymorph in this dataset: 334.5 meV per atom



(23)
A plane-wave DFT calculation with PBE was carried out for SbSF2 after structural relaxation.

Structure (POSCAR):
```
SbSF2
1.0
3.3215 4.0802 8.1464
3.6267 1.1329 8.9224
5.8325 2.5317 7.3224
F Sb S
2 1 1
Cartesian
0.8915 0.5402 1.7014
11.8892 7.2046 22.6899
0.0000 0.0000 0.0000
6.3904 3.8724 12.1956
```

Properties
- ΔE_f (raw): -0.617 eV per atom
- Space group: No. 166
- Energy above the most stable polymorph in this dataset: 693.0 meV per atom



(24)
A plane-wave DFT calculation with PBE was carried out for Sb2SF after structural relaxation.

Structure (POSCAR):
```
Sb2SF
1.0
-3.8695 5.5834 -2.6721
-6.0404 -2.7178 3.0682
-4.3637 3.1110 2.8485
Sb F S
4 2 2
Cartesian
-11.8808 4.8690 2.4509
-7.0522 3.3794 2.3170
-4.2240 3.8692 -0.5465
-5.3904 -0.1646 2.2678
-4.9550 1.4328 0.1981
-7.6796 0.9130 3.0574
0.0000 0.0000 0.0000
-6.5941 5.0636 0.1872
```

Properties
- ΔE_f (raw): -0.464 eV per atom
- Space group: No. 122
- Energy above the most stable polymorph in this dataset: 0.0 meV per atom



(25)
A plane-wave DFT calculation with PBE was carried out for SbSF after structural relaxation.

Structure (POSCAR):
```
SbSF
1.0
3.9795 -0.0563 -0.8208
-0.1032 7.2832 -0.3100
0.7587 2.5878 4.9690
F S Sb
2 2 2
Cartesian
3.2653 2.3856 2.4434
1.3697 7.4291 1.3949
1.7449 5.0308 3.5694
2.8901 4.7839 0.2689
1.5614 3.2699 1.7721
3.0736 6.5448 2.0661
```

Properties
- ΔE_f (raw): -1.129 eV per atom
- Space group: No. 2
- Energy above the most stable polymorph in this dataset: 0.0 meV per atom



(26)
A plane-wave DFT calculation with PBE was carried out for SbSF after structural relaxation.

Structure (POSCAR):
```
SbSF
1.0
3.3398 0.0000 0.0000
0.0000 3.3398 0.0000
-1.6699 -1.6699 5.0827
Sb F S
1 1 1
Cartesian
0.0000 0.0000 2.8491
1.6699 1.6699 1.5177
1.6699 1.6699 4.2737
```

Properties
- ΔE_f (raw): -0.719 eV per atom
- Space group: No. 107
- Energy above the most stable polymorph in this dataset: 410.0 meV per atom



(27)
A plane-wave DFT calculation with PBE was carried out for Tl2SbSF3 after structural relaxation.

Structure (POSCAR):
```
Tl2SbSF3
1.0
-1.7587 -2.8565 4.2999
0.5530 -3.8382 -2.3236
7.2992 2.8530 1.4223
Tl F Sb S
2 3 1 1
Cartesian
1.4157 -3.4964 1.7148
4.6779 -0.3453 1.6839
4.0548 -3.6912 2.6648
0.2765 -1.9191 -1.1618
2.0387 -0.1505 0.7339
0.0000 0.0000 0.0000
-0.8794 -1.4283 2.1500
```

Properties
- ΔE_f (raw): -1.464 eV per atom
- Space group: No. 71